B5C7 | Alexandria | GGA-PBE | relaxed; energy relative to the elements = 0.371 eV/atom; relative energy among the computed polymorphs = 113 meV per atom
1.0
-2.048 1.659 -0.038
-2.180 -2.636 2.362
2.483 3.203 6.012
B C
5 7
direct
0.500 0.798 0.975
0.000 0.317 0.544
0.000 0.928 0.305
0.500 0.466 0.845
0.500 0.460 0.161
0.500 0.528 0.515
0.000 0.223 0.166
0.000 0.021 0.994
0.500 0.791 0.676
0.000 0.249 0.825
0.000 0.995 0.661
0.500 0.725 0.334

---

Tb4NdAl | Alexandria | GGA-PBE | relaxed; energy relative to the elements = -0.041 eV/atom; relative energy among the computed polymorphs = 72 meV per atom
1.0
6.225 -0.648 0.000
-2.471 8.650 0.000
-1.877 -4.001 6.965
Nd Tb Al
2 8 2
direct
0.347 0.597 0.194
0.653 0.403 0.806
0.235 0.283 0.365
0.962 0.834 0.224
0.038 0.166 0.776
0.762 0.390 0.224
0.765 0.717 0.635
0.630 0.082 0.365
0.370 0.918 0.635
0.238 0.610 0.776
0.751 0.001 0.001
0.249 0.999 0.999

---

Li2UTl3Te6 | Alexandria | GGA-PBE | relaxed; ΔE_f (raw) = -499 meV per atom
1.0
-1.115 6.223 -4.136
2.351 -6.377 -3.299
-7.818 -2.068 1.250
Te Tl Li U
6 3 2 1
direct
0.607 0.931 0.791
0.069 0.393 0.209
0.931 0.607 0.791
0.393 0.069 0.209
0.252 0.252 0.786
0.748 0.748 0.214
0.164 0.836 0.500
0.836 0.164 0.500
0.500 0.500 0.500
0.335 0.665 0.000
0.665 0.335 0.000
0.000 0.000 0.000

---

NpUGa2 | Alexandria | GGA-PBE | relaxed; energy relative to the elements = -0.028 eV/atom; relative energy among the computed polymorphs = 95 meV per atom
1.0
-1.439 2.532 0.251
-2.774 0.201 -0.901
-4.720 -1.925 9.364
Ga Np U
2 1 1
direct
0.250 0.250 0.250
0.750 0.750 0.750
0.500 0.500 0.500
0.000 0.000 0.000

---

Tm4OsPd3 | Alexandria | GGA-PBE | relaxed; energy relative to the elements = -0.803 eV/atom
1.0
3.404 0.000 0.000
0.000 3.404 0.000
0.000 0.000 13.950
Pd Os Tm
3 1 4
direct
0.500 0.500 0.750
0.500 0.500 0.250
0.500 0.500 0.500
0.500 0.500 0.000
0.000 0.000 0.883
0.000 0.000 0.627
0.000 0.000 0.117
0.000 0.000 0.373

---

PrCoSb3 | Alexandria | GGA-PBE | relaxed; relative energy among the computed polymorphs = 0 meV per atom; ΔE_f (raw) = -575 meV per atom
1.0
6.179 0.000 0.000
0.000 12.178 0.000
0.000 0.000 12.888
Sb Pr Co
24 8 8
direct
0.484 0.376 0.498
0.750 0.500 0.028
0.269 0.750 0.789
0.750 0.500 0.784
0.250 0.000 0.216
0.250 0.500 0.972
0.750 0.000 0.028
0.516 0.876 0.502
0.984 0.376 0.502
0.886 0.750 0.945
0.114 0.250 0.055
0.484 0.124 0.498
0.750 0.000 0.784
0.250 0.000 0.972
0.731 0.250 0.211
0.614 0.250 0.945
0.016 0.876 0.498
0.231 0.250 0.789
0.769 0.750 0.211
0.984 0.124 0.502
0.250 0.500 0.216
0.386 0.750 0.055
0.016 0.624 0.498
0.516 0.624 0.502
0.777 0.750 0.697
0.250 0.000 0.700
0.723 0.250 0.697
0.277 0.750 0.303
0.750 0.500 0.300
0.250 0.500 0.700
0.750 0.000 0.300
0.223 0.250 0.303
0.539 0.636 0.903
0.961 0.136 0.903
0.461 0.136 0.097
0.461 0.364 0.097
0.039 0.864 0.097
0.961 0.364 0.903
0.539 0.864 0.903
0.039 0.636 0.097

---

LiTbIr | Alexandria | GGA-PBE | relaxed; energy relative to the elements = -0.330 eV/atom; relative energy among the computed polymorphs = 180 meV per atom
1.0
-0.997 -3.122 -1.295
2.457 0.257 -2.513
2.258 -0.646 4.612
Ir Tb Li
1 1 1
direct
0.626 0.626 0.253
0.963 0.963 0.926
0.261 0.261 0.521

---

Rb2ZnBiCl6 | Alexandria | GGA-PBE | relaxed; ΔE_f (raw) = -1294 meV per atom
1.0
7.596 -0.003 0.014
-0.003 7.597 0.013
3.807 3.807 5.339
Zn Bi Cl Rb
1 1 6 2
direct
0.500 0.500 0.000
0.000 0.000 0.000
0.742 0.258 0.000
0.258 0.742 0.000
0.742 0.742 0.000
0.258 0.258 0.000
0.737 0.737 0.525
0.263 0.263 0.475
0.250 0.750 0.500
0.750 0.250 0.500

---

TlCd2Cu | Alexandria | GGA-PBE | relaxed; energy relative to the elements = 0.211 eV/atom; relative energy among the computed polymorphs = 124 meV per atom
1.0
5.353 -0.086 0.000
1.726 5.067 0.000
-3.539 -2.490 3.151
Cu Cd Tl
1 2 1
direct
0.500 0.500 0.000
0.250 0.750 0.500
0.000 0.000 0.000
0.750 0.250 0.500

---

YZnSe3 | Alexandria | GGA-PBE | relaxed; relative energy among the computed polymorphs = 276 meV per atom; ΔE_f (raw) = -231 meV per atom
1.0
5.488 0.000 0.000
0.000 5.488 0.000
0.000 0.000 5.488
Y Se Zn
1 3 1
direct
0.000 0.000 0.000
0.500 0.000 0.000
0.000 0.500 0.000
0.000 0.000 0.500
0.500 0.500 0.500

---

Sm2ZnCl | Alexandria | GGA-PBE | relaxed; relative energy among the computed polymorphs = 79 meV per atom; ΔE_f (raw) = -735 meV per atom
1.0
-1.053 -3.307 -0.028
3.148 -1.012 1.056
-2.344 0.682 7.638
Sm Zn Cl
2 1 1
direct
0.000 0.000 0.231
0.000 0.000 0.769
0.500 0.500 0.000
0.500 0.500 0.500

---

TbDy2AlS6 | Alexandria | GGA-PBE | relaxed; ΔE_f (raw) = -1747 meV per atom
1.0
6.733 0.000 0.000
3.367 5.831 0.000
3.366 1.944 5.949
Tb S Dy Al
1 6 2 1
direct
0.816 0.816 0.553
0.688 0.118 0.770
0.118 0.424 0.770
0.212 0.958 0.247
0.958 0.582 0.247
0.424 0.688 0.770
0.582 0.212 0.247
0.020 0.020 0.941
0.523 0.523 0.431
0.321 0.321 0.038

---

| no. | calculated density (g cm⁻³) | N(E_F) (states/eV/cell) |
| --- | --- | --- |
| 1 | 2.887 | 1.04 |
| 2 | 7.364 | 15.54 |
| 3 | 7.033 | 11.48 |
| 4 | 13.100 | 6.69 |
| 5 | 12.173 | 3.16 |
| 6 | 7.741 | 19.85 |
| 7 | 10.558 | 2.93 |
| 8 | 3.555 | 2.79 |
| 9 | 9.523 | 1.31 |
| 10 | 3.930 | 10.42 |
| 11 | 6.903 | 2.88 |
| 12 | 5.001 | 0.00 |